## Ac3Pm3Nd8 (GGA-PBE)

Data for a relaxed structure of Ac3Pm3Nd8.

Calculated values
For the calculated formation energy, the calculation gives 161 kJ/mol of formula units. The calculation puts the density of states at the Fermi level at 19.9 states/eV/f.u.

Cell and atoms, written as CIF:
```
data_Ac3Pm3Nd8
_symmetry_space_group_name_H-M 'I m m m'
_symmetry_Int_Tables_number 71
_symmetry_space_group_name_Hall '-I 2 2'
_cell_length_a 5.8860
_cell_length_b 11.3083
_cell_length_c 15.7818
_cell_angle_alpha 90.00
_cell_angle_beta 90.00
_cell_angle_gamma 90.00
loop_
_atom_site_label
_atom_site_type_symbol
_atom_site_fract_x
_atom_site_fract_y
_atom_site_fract_z
Ac1 Ac 0.0000 0.0000 0.0000
Ac2 Ac 0.0000 0.3166 0.0000
Pm1 Pm 0.0000 0.0000 0.5000
Pm2 Pm 0.0000 0.5000 0.1926
Nd1 Nd 0.0000 0.1600 0.2245
Nd2 Nd 0.0000 0.3368 0.3967
```